# 1
Compound: CoPCl2
Source: the Alexandria database
Functional: PBE-GGA
Structure: relaxed

Cell lengths 3.058, 4.030, 5.901 Å; angles 90.00, 90.00, 90.00 degrees
Space group Pmmm (No. 47)
Inequivalent atoms, fractional coordinates:
Co (0.000, 0.000, 0.000) [1 per cell]
P (0.500, 0.000, 0.500) [1 per cell]
Cl (0.000, 0.500, 0.500) [1 per cell]
Cl (0.500, 0.500, 0.000) [1 per cell]

Computed properties:
distance to the lowest polymorph of the same formula: 1.137 eV/atom
magnetization: 0.683 μB per atom
final energy: -0.2575 Ry/atom
formation energy without anion corrections: 0.5486 eV/atom

=====

# 2
Compound: CoP2Cl2
Source: the Alexandria database
Functional: PBE-GGA
Structure: relaxed

Cell lengths 8.323, 8.323, 2.786 Å; angles 90.00, 90.00, 90.00 degrees
Space group P4/mbm (No. 127)
Inequivalent atoms, fractional coordinates:
Co (0.000, 0.000, 0.000) [2 per cell]
P (0.225, 0.275, 0.500) [4 per cell]
Cl (0.120, 0.620, 0.000) [4 per cell]

Computed properties:
distance to the lowest polymorph of the same formula: 0.871 eV/atom
magnetization: 0.443 μB per atom
final energy: -0.2435 Ry/atom
formation energy without anion corrections: 1.0107 eV/atom

=====

# 3
Compound: CoP3Cl
Source: the Alexandria database
Functional: PBE-GGA
Structure: relaxed

Cell lengths 4.496, 4.496, 4.496 Å; angles 90.00, 90.00, 90.00 degrees
Space group Pm-3m (No. 221)
Inequivalent atoms, fractional coordinates:
Co (0.000, 0.000, 0.000) [1 per cell]
P (0.000, 0.500, 0.500) [3 per cell]
Cl (0.500, 0.500, 0.500) [1 per cell]

Computed properties:
distance to the lowest polymorph of the same formula: 1.053 eV/atom
magnetization: 0.387 μB per atom
final energy: -0.2474 Ry/atom
formation energy without anion corrections: 1.6704 eV/atom